Record 1
Material: Dy2MgSb
Method: DFT, PBE-GGA
State: relaxed Values from VASP.

Cell and atoms, written as Quantum ESPRESSO input:
```
&SYSTEM
  ibrav = 0, nat = 4, ntyp = 3
/
ATOMIC_SPECIES
Dy 162.50 Dy.upf
Mg 24.30 Mg.upf
Sb 121.76 Sb.upf
ATOMIC_POSITIONS angstrom
Dy 0.0000 0.0000 1.6286
Dy 0.0000 0.0000 5.0706
Mg 1.9889 1.9889 3.3496
Sb 1.9889 1.9889 0.0000
CELL_PARAMETERS angstrom
3.9778 0.0000 0.0000
0.0000 3.9778 0.0000
0.0000 0.0000 6.6992
```

E_form (uncorrected) in eV per atom: -0.538
Density of states at the Fermi level in states/eV/f.u.: 3.140
Energy relative to the lowest polymorph listed for this composition in meV per atom: 0
Symmetry: P4/mmm (123)
VASP energy in eV/atom: -4.268



Record 2
Material: HfSc2Hg4
Method: DFT, PBE-GGA
State: relaxed Values from VASP.

Cell and atoms, written as Quantum ESPRESSO input:
```
&SYSTEM
  ibrav = 0, nat = 7, ntyp = 3
/
ATOMIC_SPECIES
Hf 178.49 Hf.upf
Sc 44.96 Sc.upf
Hg 200.59 Hg.upf
ATOMIC_POSITIONS angstrom
Hf 0.0000 0.0000 0.0000
Sc 0.0000 0.0000 6.0667
Sc 0.0000 0.0000 18.4230
Hg 0.0000 0.0000 3.1389
Hg 0.0000 0.0000 9.2574
Hg 0.0000 0.0000 15.2322
Hg 0.0000 0.0000 21.3508
CELL_PARAMETERS angstrom
2.4190 1.3966 8.1632
-2.4190 1.3966 8.1632
0.0000 -2.7932 8.1632
```

Density of states at the Fermi level in states/eV/f.u.: 7.349
Symmetry: R-3m (166)
VASP energy in eV/atom: -3.544



Record 3
Material: Li3Dy2PuSe6
Method: DFT, PBE-GGA
State: relaxed Values from VASP.

Cell and atoms, written as Quantum ESPRESSO input:
```
&SYSTEM
  ibrav = 0, nat = 12, ntyp = 4
/
ATOMIC_SPECIES
Li 6.94 Li.upf
Dy 162.50 Dy.upf
Pu 244.00 Pu.upf
Se 78.96 Se.upf
ATOMIC_POSITIONS angstrom
Li 0.0000 0.0000 0.0000
Li 3.5488 2.0547 0.0000
Li 3.5488 -2.0547 0.0000
Dy 2.3671 4.0974 3.2373
Dy 2.3671 -4.0974 3.2373
Pu 2.3671 0.0000 3.2373
Se 1.1700 2.0718 1.5921
Se -0.0260 0.0000 4.8844
Se 1.1700 -2.0718 1.5921
Se 3.5642 2.0718 4.8826
Se 4.7602 0.0000 1.5903
Se 3.5642 -2.0718 4.8826
CELL_PARAMETERS angstrom
3.5488 -6.1450 0.0000
3.5488 6.1450 0.0000
-2.3634 0.0000 6.4747
```

E_form (uncorrected) in eV per atom: -1.581
Density of states at the Fermi level in states/eV/f.u.: 12.767
Symmetry: C2/m (12)
VASP energy in eV/atom: -5.763



What did the third record say?
Material: Li3Dy2PuSe6
Method: DFT, PBE-GGA
State: relaxed Values from VASP.

Cell and atoms, written as Quantum ESPRESSO input:
```
&SYSTEM
  ibrav = 0, nat = 12, ntyp = 4
/
ATOMIC_SPECIES
Li 6.94 Li.upf
Dy 162.50 Dy.upf
Pu 244.00 Pu.upf
Se 78.96 Se.upf
ATOMIC_POSITIONS angstrom
Li 0.0000 0.0000 0.0000
Li 3.5488 2.0547 0.0000
Li 3.5488 -2.0547 0.0000
Dy 2.3671 4.0974 3.2373
Dy 2.3671 -4.0974 3.2373
Pu 2.3671 0.0000 3.2373
Se 1.1700 2.0718 1.5921
Se -0.0260 0.0000 4.8844
Se 1.1700 -2.0718 1.5921
Se 3.5642 2.0718 4.8826
Se 4.7602 0.0000 1.5903
Se 3.5642 -2.0718 4.8826
CELL_PARAMETERS angstrom
3.5488 -6.1450 0.0000
3.5488 6.1450 0.0000
-2.3634 0.0000 6.4747
```

E_form (uncorrected) in eV per atom: -1.581
Density of states at the Fermi level in states/eV/f.u.: 12.767
Symmetry: C2/m (12)
VASP energy in eV/atom: -5.763



Which formula does entry 2 have? HfSc2Hg4